The following is a DFT calculation (PBE-GGA) of YV2Rh2 after structural relaxation.

## Properties
- Polymorph energy (0 for the lowest one): 178 meV per atom
- Uncorrected energy: -8.09 eV per atom
- Spin magnetization: 0.01 μB per formula unit
- ΔH_f (0 K): -20.39 kJ per mole of atoms
- Volume: 162.21 Å³/cell

Geometry as CIF:
```
data_YV2Rh2
_space_group_name_H-M_alt 'P 4/m b m'
_space_group_IT_number 127
_space_group_name_Hall '-P 4 2ab'
_cell_length_a 7.613
_cell_length_b 7.613
_cell_length_c 2.799
_cell_angle_alpha 90.00
_cell_angle_beta 90.00
_cell_angle_gamma 90.00
loop_
_atom_site_label
_atom_site_type_symbol
_atom_site_fract_x
_atom_site_fract_y
_atom_site_fract_z
_atom_site_occupancy
Y1 Y 0.000 0.000 0.000 1
V1 V 0.143 0.357 0.000 1
Rh1 Rh 0.149 0.649 0.500 1
```

=====

The following is a DFT calculation (PBE-GGA) of YV2Rh2 after structural relaxation.

## Properties
- Polymorph energy (0 for the lowest one): 153 meV per atom
- Uncorrected energy: -8.12 eV per atom
- Spin magnetization: 0.00 μB per formula unit
- ΔH_f (0 K): -22.83 kJ per mole of atoms
- Volume: 177.05 Å³/cell

Geometry as CIF:
```
data_YV2Rh2
_space_group_name_H-M_alt 'I 4/m m m'
_space_group_IT_number 139
_space_group_name_Hall '-I 4 2'
_cell_length_a 4.358
_cell_length_b 4.358
_cell_length_c 9.323
_cell_angle_alpha 90.00
_cell_angle_beta 90.00
_cell_angle_gamma 90.00
loop_
_atom_site_label
_atom_site_type_symbol
_atom_site_fract_x
_atom_site_fract_y
_atom_site_fract_z
_atom_site_occupancy
Y1 Y 0.000 0.000 0.000 1
V1 V 0.000 0.000 0.375 1
Rh1 Rh 0.000 0.500 0.250 1
```

=====

The following is a DFT calculation (PBE-GGA) of YV3Rh after structural relaxation.

## Properties
- Polymorph energy (0 for the lowest one): 0 meV per atom
- Uncorrected energy: -7.62 eV per atom
- Spin magnetization: 4.48 μB per formula unit
- ΔH_f (0 K): 59.65 kJ per mole of atoms
- Volume: 102.70 Å³/cell

Geometry as CIF:
```
data_YV3Rh
_space_group_name_H-M_alt 'P m -3 m'
_space_group_IT_number 221
_space_group_name_Hall '-P 4 2 3'
_cell_length_a 4.683
_cell_length_b 4.683
_cell_length_c 4.683
_cell_angle_alpha 90.00
_cell_angle_beta 90.00
_cell_angle_gamma 90.00
loop_
_atom_site_label
_atom_site_type_symbol
_atom_site_fract_x
_atom_site_fract_y
_atom_site_fract_z
_atom_site_occupancy
Y1 Y 0.000 0.000 0.000 1
V1 V 0.000 0.500 0.500 1
Rh1 Rh 0.500 0.500 0.500 1
```

=====

The following is a DFT calculation (PBE-GGA) of YVRh2 after structural relaxation.

## Properties
- Polymorph energy (0 for the lowest one): 114 meV per atom
- Uncorrected energy: -7.92 eV per atom
- Spin magnetization: 2.26 μB per formula unit
- ΔH_f (0 K): -33.67 kJ per mole of atoms
- Volume: 68.75 Å³/cell

Geometry as CIF:
```
data_YVRh2
_space_group_name_H-M_alt 'P 4/m m m'
_space_group_IT_number 123
_space_group_name_Hall '-P 4 2'
_cell_length_a 4.663
_cell_length_b 4.663
_cell_length_c 3.161
_cell_angle_alpha 90.00
_cell_angle_beta 90.00
_cell_angle_gamma 90.00
loop_
_atom_site_label
_atom_site_type_symbol
_atom_site_fract_x
_atom_site_fract_y
_atom_site_fract_z
_atom_site_occupancy
Y1 Y 0.000 0.000 0.000 1
V1 V 0.500 0.500 0.000 1
Rh1 Rh 0.000 0.500 0.500 1
```

=====

The following is a DFT calculation (PBE-GGA) of Y2VRh2 after structural relaxation.

## Properties
- Uncorrected energy: -7.80 eV per atom
- Spin magnetization: 0.28 μB per formula unit
- ΔH_f (0 K): -43.41 kJ per mole of atoms
- Volume: 200.41 Å³/cell

Geometry as CIF:
```
data_Y2VRh2
_space_group_name_H-M_alt 'P 4/m b m'
_space_group_IT_number 127
_space_group_name_Hall '-P 4 2ab'
_cell_length_a 6.643
_cell_length_b 6.643
_cell_length_c 4.541
_cell_angle_alpha 90.00
_cell_angle_beta 90.00
_cell_angle_gamma 90.00
loop_
_atom_site_label
_atom_site_type_symbol
_atom_site_fract_x
_atom_site_fract_y
_atom_site_fract_z
_atom_site_occupancy
Y1 Y 0.174 0.326 0.000 1
V1 V 0.000 0.000 0.500 1
Rh1 Rh 0.145 0.645 0.500 1
```

=====

The following is a DFT calculation (PBE-GGA) of VZn2Rh5 after structural relaxation.

## Properties
- Uncorrected energy: -6.41 eV per atom
- Spin magnetization: 0.00 μB per formula unit
- ΔH_f (0 K): -34.88 kJ per mole of atoms
- Volume: 221.79 Å³/cell

Geometry as CIF:
```
data_VZn2Rh5
_space_group_name_H-M_alt 'I 4/m m m'
_space_group_IT_number 139
_space_group_name_Hall '-I 4 2'
_cell_length_a 3.934
_cell_length_b 3.934
_cell_length_c 14.328
_cell_angle_alpha 90.00
_cell_angle_beta 90.00
_cell_angle_gamma 90.00
loop_
_atom_site_label
_atom_site_type_symbol
_atom_site_fract_x
_atom_site_fract_y
_atom_site_fract_z
_atom_site_occupancy
V1 V 0.000 0.000 0.000 1
Zn1 Zn 0.000 0.000 0.250 1
Rh1 Rh 0.000 0.000 0.500 1
Rh2 Rh 0.000 0.500 0.125 1
```

=====

The following is a DFT calculation (PBE-GGA) of VZn3Rh after structural relaxation.

## Properties
- Polymorph energy (0 for the lowest one): 0 meV per atom
- Uncorrected energy: -3.51 eV per atom
- Spin magnetization: 3.71 μB per formula unit
- ΔH_f (0 K): 52.73 kJ per mole of atoms
- Volume: 102.83 Å³/cell

Geometry as CIF:
```
data_VZn3Rh
_space_group_name_H-M_alt 'P m -3 m'
_space_group_IT_number 221
_space_group_name_Hall '-P 4 2 3'
_cell_length_a 4.685
_cell_length_b 4.685
_cell_length_c 4.685
_cell_angle_alpha 90.00
_cell_angle_beta 90.00
_cell_angle_gamma 90.00
loop_
_atom_site_label
_atom_site_type_symbol
_atom_site_fract_x
_atom_site_fract_y
_atom_site_fract_z
_atom_site_occupancy
V1 V 0.000 0.000 0.000 1
Zn1 Zn 0.000 0.500 0.500 1
Rh1 Rh 0.500 0.500 0.500 1
```

=====

The following is a DFT calculation (PBE-GGA) of VZn4Rh after structural relaxation.

## Properties
- Uncorrected energy: -3.69 eV per atom
- Spin magnetization: 2.06 μB per formula unit
- ΔH_f (0 K): -9.16 kJ per mole of atoms
- Volume: 336.47 Å³/cell

Geometry as CIF:
```
data_VZn4Rh
_space_group_name_H-M_alt 'F -4 3 m'
_space_group_IT_number 216
_space_group_name_Hall 'F -4 2 3'
_cell_length_a 6.955
_cell_length_b 6.955
_cell_length_c 6.955
_cell_angle_alpha 90.00
_cell_angle_beta 90.00
_cell_angle_gamma 90.00
loop_
_atom_site_label
_atom_site_type_symbol
_atom_site_fract_x
_atom_site_fract_y
_atom_site_fract_z
_atom_site_occupancy
V1 V 0.000 0.000 0.000 1
Zn1 Zn 0.125 0.125 0.625 1
Rh1 Rh 0.250 0.250 0.250 1
```

=====

The following is a DFT calculation (PBE-GGA) of VZn2Rh after structural relaxation.

## Properties
- Uncorrected energy: -4.87 eV per atom
- Spin magnetization: 1.05 μB per formula unit
- ΔH_f (0 K): -10.75 kJ per mole of atoms
- Volume: 56.28 Å³/cell

Geometry as CIF:
```
data_VZn2Rh
_space_group_name_H-M_alt 'P 4/m m m'
_space_group_IT_number 123
_space_group_name_Hall '-P 4 2'
_cell_length_a 3.698
_cell_length_b 3.698
_cell_length_c 4.114
_cell_angle_alpha 90.00
_cell_angle_beta 90.00
_cell_angle_gamma 90.00
loop_
_atom_site_label
_atom_site_type_symbol
_atom_site_fract_x
_atom_site_fract_y
_atom_site_fract_z
_atom_site_occupancy
V1 V 0.000 0.000 0.000 1
Zn1 Zn 0.000 0.500 0.500 1
Rh1 Rh 0.500 0.500 0.000 1
```

=====

The following is a DFT calculation (PBE-GGA) of VZn2Rh after structural relaxation.

## Properties
- Uncorrected energy: -4.55 eV per atom
- Spin magnetization: 0.90 μB per formula unit
- ΔH_f (0 K): 19.25 kJ per mole of atoms
- Volume: 180.24 Å³/cell

Geometry as CIF:
```
data_VZn2Rh
_space_group_name_H-M_alt 'R -3 m'
_space_group_IT_number 166
_space_group_name_Hall '-R 3 2"'
_cell_length_a 2.7186
_cell_length_b 2.7186
_cell_length_c 28.1604
_cell_angle_alpha 90.00
_cell_angle_beta 90.00
_cell_angle_gamma 120.00
loop_
_atom_site_label
_atom_site_type_symbol
_atom_site_fract_x
_atom_site_fract_y
_atom_site_fract_z
_atom_site_occupancy
V1 V 0.0000 0.0000 0.0000 1
Zn1 Zn 0.0000 0.0000 0.0915 1
Rh1 Rh 0.0000 0.0000 0.5000 1
```